CaTeI: optimized geometry, PBE.

Lattice parameters (Å, degrees): 4.8613 5.4514 5.9674 87.30 66.02 63.69
Space group P1 (No. 1)
Symmetry-distinct sites (fractional):
Ca  0.0000  0.0000  0.0000 x1
Te  0.2552  0.3940  0.0981 x1
I  0.7582  0.8927  0.5901 x1

Values from the calculation:
Calculated volume   42.6 A^3/atom
Calculated total energy   -9.88 eV/cell
Crystal system   triclinic
Raw formation energy   -1063 meV per atom
Total moment   0.00 μB/atom